2
Lattice="-0.1333 -3.4553 -0.0583 1.2885 -1.8250 2.6400 -2.1308 -1.6846 2.1406" Properties=species:S:1:pos:R:3 comment="NiRu PBE optimized geometry" final_energy_ev_per_atom=-6.54 dos_at_fermi_per_ev_cell=3.11 pbc="T T T"
Ni 0.0000 0.0000 0.0000
Ru -0.4878 -3.4824 2.3612



6
Lattice="0.0000 3.2961 3.2961 3.2961 0.0000 3.2961 3.2961 3.2961 0.0000" Properties=species:S:1:pos:R:3 comment="Ni2Ru PBE optimized geometry" final_energy_ev_per_atom=-6.77 dos_at_fermi_per_ev_cell=7.79 pbc="T T T"
Ni 4.1202 4.1202 4.1202
Ni 4.1202 2.4721 2.4721
Ni 2.4721 4.1202 2.4721
Ni 2.4721 2.4721 4.1202
Ru 0.0000 0.0000 0.0000
Ru 1.6481 1.6481 1.6481



2
Lattice="-1.8204 -2.8940 -1.4100 1.8691 -2.7494 -1.6199 0.2231 -3.3048 1.6450" Properties=species:S:1:pos:R:3 comment="NiRu PBE optimized geometry" final_energy_ev_per_atom=-6.11 dos_at_fermi_per_ev_cell=3.30 pbc="T T T"
Ni 0.0000 0.0000 0.0000
Ru 0.2039 -6.7112 -1.0387



In order of appearance, total magnetization = 2.4 1.8 0.0 μB/f.u..
In order of appearance, calculated volume = 14.624 11.937 17.883 A^3/atom.
In order of appearance, formation energy from the elements = 22.868 4.067 32.795 kcal/mol of atoms.